Compound: La4Tl2InHg
Source: the Alexandria database
Functional: GGA-PBE
Structure: optimized geometry

abc: 5.5989 5.5989 27.4961
angles: 90.00 90.00 120.00
Space group R-3m (No. 166, hexagonal axes)
Unique sites:
1 La 0.0000 0.0000 0.1240
2 La 0.0000 0.0000 0.3740
3 Tl 0.0000 0.0000 0.2504
4 In 0.0000 0.0000 0.5000
5 Hg 0.0000 0.0000 0.0000

Summary:
E_tot, eV per atom: -3.893
Total magnetization, μB/cell: 1.1
E_form, meV per atom: -458

Compound: LaTmInHg
Source: the Alexandria database
Functional: GGA-PBE
Structure: optimized geometry

abc: 7.671 7.671 7.671
angles: 90.00 90.00 90.00
Space group F-43m (No. 216)
Unique sites:
1 La 0.000 0.000 0.000
2 Tm 0.000 0.000 0.500
3 In 0.250 0.250 0.750
4 Hg 0.250 0.250 0.250

Summary:
E_tot, eV per atom: -3.572
Total magnetization, μB/cell: 0.0
E_form, meV per atom: -462